(1)
Compound: GdTmBi
Source: the Open Quantum Materials Database
Functional: PBE
Structure: relaxed

Unit cell a=5.1539 b=5.1539 c=5.1539 alpha=60.00 beta=60.00 gamma=60.00
With the nearest neighbours (Å) after each atom.
Element x y z (fractional)
1 Bi 0.0000 0.0000 0.0000  4 Tm 3.16, 4 Gd 3.16
2 Gd 0.2500 0.2500 0.2500  4 Bi 3.16
3 Tm 0.7500 0.7500 0.7500  4 Bi 3.16

Calculated volume: 32.3 Å³/atom
Polymorph energy (0 for the lowest one): 0.0 meV/atom
Mass density: 9180 kg/m³
Total magnetic moment: 0.05 μB/cell
Symmetry: F-43m (216)
Crystal system: cubic

=====

(2)
Compound: Gd2TmBi3
Source: the Open Quantum Materials Database
Functional: PBE
Structure: relaxed

Unit cell a=4.4763 b=4.4763 c=10.9702 alpha=90.00 beta=90.00 gamma=120.00
With the nearest neighbours (Å) after each atom.
Element x y z (fractional)
1 Bi 0.0000 0.0000 0.0000  6 Gd 3.17
2 Bi 0.3333 0.6667 0.3374  3 Tm 3.14, 3 Gd 3.18
3 Bi 0.6667 0.3333 0.6626  3 Tm 3.14, 3 Gd 3.18
4 Gd 0.6667 0.3333 0.1678  6 Bi 3.17-3.18
5 Gd 0.3333 0.6667 0.8322  6 Bi 3.17-3.18
6 Tm 0.0000 0.0000 0.5000  6 Bi 3.14

Calculated volume: 31.7 Å³/atom
Mass density: 9686 kg/m³
Calculated total energy: -31.2 eV/cell
Total magnetic moment: 0.00 μB/cell
Symmetry: P-3m1 (164)
Crystal system: trigonal

=====

(3)
Compound: GdBi4W2
Source: the Open Quantum Materials Database
Functional: PBE
Structure: relaxed

Unit cell a=7.1712 b=7.1712 c=3.6551 alpha=90.00 beta=90.00 gamma=105.55
With the nearest neighbours (Å) after each atom.
Element x y z (fractional)
1 Bi 0.7300 0.2700 0.0000  4 W 2.85, 1 Gd 3.08
2 Bi 0.2700 0.7300 0.0000  4 W 2.85, 1 Gd 3.08
3 Bi 0.3019 0.3019 0.5000  2 W 2.89, 2 Gd 3.19
4 Bi 0.6981 0.6981 0.5000  2 W 2.89, 2 Gd 3.19
5 Gd 0.0000 0.0000 0.0000  6 Bi 3.08-3.19
6 W 0.5000 0.0000 0.5000  6 Bi 2.85-2.89
7 W 0.0000 0.5000 0.5000  6 Bi 2.85-2.89

Calculated volume: 25.9 Å³/atom
Mass density: 12478 kg/m³
Calculated total energy: -42.0 eV/cell
Total magnetic moment: 0.32 μB/cell
Symmetry: Cmmm (65)
Crystal system: orthorhombic

=====

(4)
Compound: GdBiW
Source: the Open Quantum Materials Database
Functional: PBE
Structure: relaxed

Unit cell a=5.0069 b=5.0069 c=5.0069 alpha=60.00 beta=60.00 gamma=60.00
With the nearest neighbours (Å) after each atom.
Element x y z (fractional)
1 Bi 0.2500 0.2500 0.2500  4 Gd 3.07
2 Gd 0.0000 0.0000 0.0000  4 W 3.07, 4 Bi 3.07
3 W 0.7500 0.7500 0.7500  4 Gd 3.07

Calculated volume: 29.6 Å³/atom
Polymorph energy (0 for the lowest one): 437.9 meV/atom
Mass density: 10292 kg/m³
Total magnetic moment: 3.15 μB/cell
Symmetry: F-43m (216)
Crystal system: cubic

=====

(5)
Compound: GdBiW
Source: the Open Quantum Materials Database
Functional: PBE
Structure: relaxed

Unit cell a=4.8479 b=4.8479 c=4.8479 alpha=60.00 beta=60.00 gamma=60.00
With the nearest neighbours (Å) after each atom.
Element x y z (fractional)
1 Bi 0.0000 0.0000 0.0000  4 Gd 2.97, 4 W 2.97
2 Gd 0.2500 0.2500 0.2500  4 Bi 2.97
3 W 0.7500 0.7500 0.7500  4 Bi 2.97

Calculated volume: 26.9 Å³/atom
Polymorph energy (0 for the lowest one): 0.0 meV/atom
Mass density: 11338 kg/m³
Total magnetic moment: 0.21 μB/cell
Symmetry: F-43m (216)
Crystal system: cubic

=====

(6)
Compound: Gd2YBi3
Source: the Open Quantum Materials Database
Functional: PBE
Structure: relaxed

Unit cell a=4.4880 b=4.4880 c=10.9811 alpha=90.00 beta=90.00 gamma=120.00
With the nearest neighbours (Å) after each atom.
Element x y z (fractional)
1 Bi 0.0000 0.0000 0.0000  6 Gd 3.17
2 Bi 0.3333 0.6667 0.3346  3 Y 3.16, 3 Gd 3.18
3 Bi 0.6667 0.3333 0.6654  3 Y 3.16, 3 Gd 3.18
4 Gd 0.6667 0.3333 0.1670  6 Bi 3.17-3.18
5 Gd 0.3333 0.6667 0.8330  6 Bi 3.17-3.18
6 Y 0.0000 0.0000 0.5000  6 Bi 3.16

Calculated volume: 31.9 Å³/atom
Mass density: 8932 kg/m³
Calculated total energy: -33.4 eV/cell
Total magnetic moment: 0.00 μB/cell
Symmetry: P-3m1 (164)
Crystal system: trigonal

=====

(7)
Compound: GdYBi
Source: the Open Quantum Materials Database
Functional: PBE
Structure: relaxed

Unit cell a=5.1913 b=5.1913 c=5.1913 alpha=60.00 beta=60.00 gamma=60.00
With the nearest neighbours (Å) after each atom.
Element x y z (fractional)
1 Bi 0.0000 0.0000 0.0000  4 Y 3.18, 4 Gd 3.18
2 Gd 0.2500 0.2500 0.2500  4 Bi 3.18
3 Y 0.7500 0.7500 0.7500  4 Bi 3.18

Calculated volume: 33.0 Å³/atom
Polymorph energy (0 for the lowest one): 0.0 meV/atom
Mass density: 7640 kg/m³
Total magnetic moment: 0.03 μB/cell
Symmetry: F-43m (216)
Crystal system: cubic

=====

(8)
Compound: GdYZr2Bi2
Source: the Open Quantum Materials Database
Functional: PBE
Structure: relaxed

Unit cell a=9.0227 b=9.0227 c=9.0227 alpha=152.20 beta=152.20 gamma=39.72
With the nearest neighbours (Å) after each atom.
Element x y z (fractional)
1 Bi 0.1340 0.1340 0.0000  4 Zr 3.14, 4 Gd 3.15, 1 Y 3.22
2 Bi 0.8659 0.8659 0.0000  4 Zr 3.14, 4 Y 3.15, 1 Gd 3.21
3 Gd 0.6766 0.6766 0.0000  5 Bi 3.15-3.21
4 Y 0.3237 0.3237 0.0000  5 Bi 3.15-3.22
5 Zr 0.5000 0.0000 0.5000  4 Zr 3.07, 4 Bi 3.14
6 Zr 0.0000 0.5000 0.5000  4 Zr 3.07, 4 Bi 3.14

Calculated volume: 26.6 Å³/atom
Mass density: 8814 kg/m³
Calculated total energy: -39.8 eV/cell
Total magnetic moment: 0.05 μB/cell
Symmetry: I4mm (107)
Crystal system: tetragonal

=====

(9)
Compound: GdZrBi
Source: the Open Quantum Materials Database
Functional: PBE
Structure: relaxed

Unit cell a=5.0319 b=5.0319 c=5.0319 alpha=60.00 beta=60.00 gamma=60.00
With the nearest neighbours (Å) after each atom.
Element x y z (fractional)
1 Bi 0.0000 0.0000 0.0000  4 Gd 3.08, 4 Zr 3.08
2 Gd 0.2500 0.2500 0.2500  4 Bi 3.08
3 Zr 0.7500 0.7500 0.7500  4 Bi 3.08

Calculated volume: 30.0 Å³/atom
Mass density: 8432 kg/m³
Calculated total energy: -17.4 eV/cell
Total magnetic moment: 0.86 μB/cell
Symmetry: F-43m (216)
Crystal system: cubic

=====

(10)
Compound: HfGeBi2
Source: the Open Quantum Materials Database
Functional: PBE
Structure: relaxed

Unit cell a=5.2406 b=5.2406 c=5.2406 alpha=60.00 beta=60.00 gamma=60.00
With the nearest neighbours (Å) after each atom.
Element x y z (fractional)
1 Bi 0.0000 0.0000 0.0000  4 Hf 3.21, 4 Bi 3.21
2 Bi 0.7500 0.7500 0.7500  4 Bi 3.21, 4 Ge 3.21
3 Ge 0.5000 0.5000 0.5000  4 Bi 3.21, 4 Hf 3.21
4 Hf 0.2500 0.2500 0.2500  4 Ge 3.21, 4 Bi 3.21

Calculated volume: 25.4 Å³/atom
Mass density: 10917 kg/m³
Calculated total energy: -21.2 eV/cell
Total magnetic moment: 0.02 μB/cell
Symmetry: F-43m (216)
Crystal system: cubic

=====

(11)
Compound: HfGeBi
Source: the Open Quantum Materials Database
Functional: PBE
Structure: relaxed

Unit cell a=4.7859 b=4.7859 c=4.7859 alpha=60.00 beta=60.00 gamma=60.00
With the nearest neighbours (Å) after each atom.
Element x y z (fractional)
1 Bi 0.2500 0.2500 0.2500  4 Ge 2.93
2 Ge 0.0000 0.0000 0.0000  4 Hf 2.93, 4 Bi 2.93
3 Hf 0.7500 0.7500 0.7500  4 Ge 2.93

Calculated volume: 25.8 Å³/atom
Mass density: 9857 kg/m³
Calculated total energy: -17.6 eV/cell
Total magnetic moment: 0.01 μB/cell
Symmetry: F-43m (216)
Crystal system: cubic

=====

(12)
Compound: HoGeBi
Source: the Open Quantum Materials Database
Functional: PBE
Structure: relaxed

Unit cell a=5.0914 b=5.0914 c=5.0914 alpha=60.00 beta=60.00 gamma=60.00
With the nearest neighbours (Å) after each atom.
Element x y z (fractional)
1 Bi 0.0000 0.0000 0.0000  4 Ge 3.12, 4 Ho 3.12
2 Ge 0.2500 0.2500 0.2500  4 Bi 3.12
3 Ho 0.7500 0.7500 0.7500  4 Bi 3.12

Calculated volume: 31.1 Å³/atom
Mass density: 7945 kg/m³
Calculated total energy: -13.1 eV/cell
Total magnetic moment: 0.00 μB/cell
Symmetry: F-43m (216)
Crystal system: cubic